A relaxed structure of CaCePt2, computed with PBE.

Values from the calculation:
SG ... R3m, No. 160
Size of the total moment ... 0.16 μB per formula unit
Energy above the lowest structure with this stoichiometry ... 104 meV/atom

```
CaCePt2
1.0
4.005 0.000 0.000
-2.002 3.468 0.000
0.000 0.000 21.585
Ca Ce Pt
3 3 6
Cartesian
0.000 0.000 0.000
0.000 2.312 14.390
2.002 1.156 7.195
0.000 0.000 3.687
0.000 2.312 18.077
2.002 1.156 10.882
0.000 0.000 12.540
0.000 0.000 16.372
0.000 2.312 5.345
0.000 2.312 9.177
2.002 1.156 1.983
2.002 1.156 19.734
```